[1]
A relaxed structure of HoLu6Te2Pd2, computed with PBE.

Mass density   9.83 g cm⁻³
Raw total energy   -5.246 eV per atom
Symmetry   Imm2, No. 44
Crystal system   orthorhombic

Cell: 9.2408 9.2408 9.2408 Å, 155.64 67.36 118.30°
Positions (direct):
1 Ho 0.0000 0.0000 0.0000
2 Lu 0.0569 0.3735 0.6834
3 Lu 0.0899 0.7343 0.3556
4 Lu 0.3786 0.7343 0.6444
5 Lu 0.4523 0.5835 0.8688
6 Lu 0.6901 0.3735 0.3166
7 Lu 0.7146 0.5835 0.1312
8 Te 0.3396 0.3396 0.0000
9 Te 0.7333 0.2333 0.5000
10 Pd 0.3055 0.0689 0.2366
11 Pd 0.8323 0.0689 0.7634



[2]
A relaxed structure of Dy3Lu4Ir2Se2, computed with PBE.

Mass density   10.90 g cm⁻³
Raw total energy   -6.230 eV per atom
Symmetry   Imm2, No. 44
Crystal system   orthorhombic

Cell: 8.9807 8.9807 8.9807 Å, 155.07 66.46 119.50°
Positions (direct):
1 Dy 0.0000 0.0000 0.0000
2 Dy 0.1033 0.7462 0.3571
3 Dy 0.3891 0.7462 0.6429
4 Lu 0.0566 0.3747 0.6819
5 Lu 0.4639 0.5890 0.8749
6 Lu 0.6929 0.3747 0.3181
7 Lu 0.7141 0.5890 0.1251
8 Ir 0.3127 0.0707 0.2420
9 Ir 0.8287 0.0707 0.7580
10 Se 0.3439 0.3439 0.0000
11 Se 0.7410 0.2410 0.5000



[3]
A relaxed structure of SrLaNi2Sn4, computed with PBE.

Mass density   7.04 g cm⁻³
Raw total energy   -4.797 eV per atom
Symmetry   Amm2, No. 38
Crystal system   orthorhombic

Cell: 4.5755 9.5654 9.5654 Å, 27.48 90.00 90.00°
Positions (direct):
1 Sr 0.0000 0.0000 0.0000
2 La 0.5000 0.7803 0.7803
3 Ni 0.0000 0.2113 0.2113
4 Ni 0.5000 0.5746 0.5746
5 Sn 0.0000 0.3447 0.3447
6 Sn 0.0000 0.6416 0.6416
7 Sn 0.5000 0.1434 0.1434
8 Sn 0.5000 0.4383 0.4383



[4]
A relaxed structure of FeSnHgS3, computed with PBE.

Mass density   6.19 g cm⁻³
Raw total energy   -4.414 eV per atom
Symmetry   Cmcm, No. 63
Crystal system   orthorhombic

Cell: 8.1927 8.1927 8.9126 Å, 90.00 90.00 154.98°
Positions (direct):
1 Fe 0.0000 0.0000 0.0000
2 Fe 0.0000 0.0000 0.5000
3 Sn 0.3483 0.6517 0.7500
4 Sn 0.6517 0.3483 0.2500
5 Hg 0.2995 0.7005 0.2500
6 Hg 0.7005 0.2995 0.7500
7 S 0.0342 0.9658 0.2500
8 S 0.4085 0.5915 0.0289
9 S 0.4085 0.5915 0.4711
10 S 0.5915 0.4085 0.5289
11 S 0.5915 0.4085 0.9711
12 S 0.9658 0.0342 0.7500



[5]
A relaxed structure of TcSe2, computed with PBE.

Mass density   6.98 g cm⁻³
Raw total energy   -4.332 eV per atom
Symmetry   Fd-3m, No. 227
Crystal system   cubic

Cell: 5.5635 5.5635 5.5635 Å, 60.00 60.00 60.00°
Positions (direct):
1 Tc 0.1250 0.1250 0.1250
2 Tc 0.8750 0.8750 0.8750
3 Se 0.0000 0.5000 0.5000
4 Se 0.5000 0.0000 0.5000
5 Se 0.5000 0.5000 0.0000
6 Se 0.5000 0.5000 0.5000



[6]
A relaxed structure of RbInNi, computed with PBE.

Mass density   4.86 g cm⁻³
Raw total energy   -2.522 eV per atom
Symmetry   F-43m, No. 216
Crystal system   cubic

Cell: 5.0025 5.0025 5.0025 Å, 60.00 60.00 60.00°
Positions (direct):
1 Rb 0.0000 0.0000 0.0000
2 In 0.5000 0.5000 0.5000
3 Ni 0.7500 0.7500 0.7500



[7]
A relaxed structure of LuZrCu, computed with PBE.

Mass density   8.00 g cm⁻³
Raw total energy   -5.387 eV per atom
Symmetry   F-43m, No. 216
Crystal system   cubic

Cell: 4.5909 4.5909 4.5909 Å, 60.00 60.00 60.00°
Positions (direct):
1 Lu 0.0000 0.0000 0.0000
2 Zr 0.5000 0.5000 0.5000
3 Cu 0.2500 0.2500 0.2500



[8]
A relaxed structure of CuSiTcAu, computed with PBE.

Mass density   11.09 g cm⁻³
Raw total energy   -5.514 eV per atom
Symmetry   F-43m, No. 216
Crystal system   cubic

Cell: 4.3420 4.3420 4.3420 Å, 60.00 60.00 60.00°
Positions (direct):
1 Cu 0.0000 0.0000 0.0000
2 Si 0.7500 0.7500 0.7500
3 Tc 0.5000 0.5000 0.5000
4 Au 0.2500 0.2500 0.2500